# 1
This record from Alexandria via LeMat-Bulk describes a relaxed structure of DyGeAu2. The functional is PBE.

Values from the calculation:
DOS at the Fermi energy: 9.110 states/eV/cell
energy of formation: -0.564 eV per atom
VASP energy: -4.51 eV per atom

```
data_DyGeAu2
_chemical_formula_sum 'Dy4 Ge4 Au8'
_symmetry_space_group_name_H-M 'F m -3 m'
_symmetry_Int_Tables_number 225
_symmetry_space_group_name_Hall '-F 4 2 3'
_cell_length_a 6.8987
_cell_length_b 6.8987
_cell_length_c 6.8987
_cell_angle_alpha 90.00
_cell_angle_beta 90.00
_cell_angle_gamma 90.00
loop_
_atom_site_label
_atom_site_type_symbol
_atom_site_fract_x
_atom_site_fract_y
_atom_site_fract_z
Dy1 Dy 0.0000 0.0000 0.0000
Ge1 Ge 0.0000 0.0000 0.5000
Au1 Au 0.2500 0.2500 0.2500
```

---

# 2
This record from Alexandria via LeMat-Bulk describes a relaxed structure of DyGeAu. The functional is PBE.

Values from the calculation:
DOS at the Fermi energy: 2.960 states/eV/cell
energy of formation: -0.700 eV per atom
VASP energy: -4.87 eV per atom

```
data_DyGeAu
_chemical_formula_sum 'Dy2 Ge2 Au2'
_symmetry_space_group_name_H-M 'P 1 21/m 1'
_symmetry_Int_Tables_number 11
_cell_length_a 3.5386
_cell_length_b 4.7308
_cell_length_c 7.6598
_cell_angle_alpha 90.00
_cell_angle_beta 90.08
_cell_angle_gamma 90.00
loop_
_symmetry_equiv_pos_as_xyz
'x,y,z'
'-x,-y,-z'
'-x,y+1/2,-z'
'x,-y+1/2,z'
loop_
_atom_site_label
_atom_site_type_symbol
_atom_site_fract_x
_atom_site_fract_y
_atom_site_fract_z
Dy1 Dy 0.9997 0.2500 0.2445
Ge1 Ge 0.4959 0.7500 0.4287
Au1 Au 0.4995 0.2500 0.9054
```

---

# 3
This record from Alexandria via LeMat-Bulk describes a relaxed structure of DyHoGeAu. The functional is PBE.

Values from the calculation:
DOS at the Fermi energy: 15.704 states/eV/cell
energy of formation: -0.749 eV per atom
VASP energy: -5.02 eV per atom
E above lowest polymorph: 115 meV per atom

```
data_DyHoGeAu
_chemical_formula_sum 'Dy4 Ho4 Ge4 Au4'
_symmetry_space_group_name_H-M 'F -4 3 m'
_symmetry_Int_Tables_number 216
_symmetry_space_group_name_Hall 'F -4 2 3'
_cell_length_a 7.1644
_cell_length_b 7.1644
_cell_length_c 7.1644
_cell_angle_alpha 90.00
_cell_angle_beta 90.00
_cell_angle_gamma 90.00
loop_
_atom_site_label
_atom_site_type_symbol
_atom_site_fract_x
_atom_site_fract_y
_atom_site_fract_z
Dy1 Dy 0.0000 0.0000 0.0000
Ho1 Ho 0.0000 0.0000 0.5000
Ge1 Ge 0.2500 0.2500 0.7500
Au1 Au 0.2500 0.2500 0.2500
```

---

# 4
This record from Alexandria via LeMat-Bulk describes a relaxed structure of DyHoGeAu. The functional is PBE.

Values from the calculation:
DOS at the Fermi energy: 4.408 states/eV/cell
energy of formation: -0.864 eV per atom
VASP energy: -5.13 eV per atom
E above lowest polymorph: 0 meV per atom

```
data_DyHoGeAu
_chemical_formula_sum 'Dy2 Ho2 Ge2 Au2'
_symmetry_space_group_name_H-M 'A m m 2'
_symmetry_Int_Tables_number 38
_cell_length_a 4.3061
_cell_length_b 4.0408
_cell_length_c 10.9069
_cell_angle_alpha 90.00
_cell_angle_beta 90.00
_cell_angle_gamma 90.00
loop_
_symmetry_equiv_pos_as_xyz
'x,y,z'
'-x,-y,z'
'-x,y,z'
'x,-y,z'
'x,y+1/2,z+1/2'
'-x,-y+1/2,z+1/2'
'-x,y+1/2,z+1/2'
'x,-y+1/2,z+1/2'
loop_
_atom_site_label
_atom_site_type_symbol
_atom_site_fract_x
_atom_site_fract_y
_atom_site_fract_z
Dy1 Dy 0.0000 0.0000 0.0000
Ho1 Ho 0.5000 0.0000 0.2784
Ge1 Ge 0.0000 0.0000 0.7262
Au1 Au 0.5000 0.0000 0.5550
```

---

> The lowest energy of formation belongs to which entry?

number 4

---

> energy of formation of number 1 (DyGeAu2)?

-0.564 eV per atom

---

> Which value of VASP energy does entry 2 give?

-4.87 eV per atom